First-principles (PBE-GGA) data for MgP2Os after structural relaxation, as listed in Alexandria.

Cell: 2.957 2.957 6.738 Å, 90.00 90.00 90.00°
Space group P4/mmm (No. 123)
Symmetry-distinct sites (fractional):
Mg  0.000  0.000  0.000 x1
P  0.500  0.500  0.280 x2
Os  0.000  0.000  0.500 x1

First-principles (PBE-GGA) data for MgPOs2 after structural relaxation, as listed in Alexandria.

Cell: 2.952 4.140 9.381 Å, 90.00 90.00 90.00°
Space group Imm2 (No. 44)
Symmetry-distinct sites (fractional):
Mg  0.000  0.000  0.000 x2
P  0.000  0.500  0.244 x2
Os  0.000  0.000  0.548 x2
Os  0.000  0.500  0.790 x2

First-principles (PBE-GGA) data for MgP2Os after structural relaxation, as listed in Alexandria.

Cell: 2.933 3.491 12.432 Å, 90.00 90.00 90.00°
Space group Imm2 (No. 44)
Symmetry-distinct sites (fractional):
Mg  0.000  0.000  0.000 x2
P  0.000  0.000  0.389 x2
P  0.000  0.500  0.161 x2
Os  0.000  0.500  0.737 x2

First-principles (PBE-GGA) data for MgP2Os after structural relaxation, as listed in Alexandria.

Cell: 7.062 3.073 6.153 Å, 90.00 105.12 90.00°
Space group C2/m (No. 12)
Symmetry-distinct sites (fractional):
Mg  0.000  0.000  0.000 x2
P  0.249  0.000  0.705 x4
Os  0.000  0.500  0.500 x2

First-principles (PBE-GGA) data for MgPOs2 after structural relaxation, as listed in Alexandria.

Cell: 3.012 4.135 4.654 Å, 90.00 90.00 90.00°
Space group Pmmm (No. 47)
Symmetry-distinct sites (fractional):
Mg  0.000  0.000  0.000 x1
P  0.500  0.000  0.500 x1
Os  0.000  0.500  0.500 x1
Os  0.500  0.500  0.000 x1

First-principles (PBE-GGA) data for MgPOs3 after structural relaxation, as listed in Alexandria.

Cell: 4.471 4.471 4.471 Å, 90.00 90.00 90.00°
Space group Pm-3m (No. 221)
Symmetry-distinct sites (fractional):
Mg  0.000  0.000  0.000 x1
P  0.500  0.500  0.500 x1
Os  0.000  0.000  0.500 x3

First-principles (PBE-GGA) data for MgP2Os after structural relaxation, as listed in Alexandria.

Cell: 5.579 5.579 11.067 Å, 90.00 90.00 90.00°
Space group I-42d (No. 122)
Symmetry-distinct sites (fractional):
Mg  0.000  0.000  0.000 x4
P  0.198  0.250  0.625 x8
Os  0.000  0.000  0.500 x4

First-principles (PBE-GGA) data for MgPOs2 after structural relaxation, as listed in Alexandria.

Cell: 7.130 7.130 5.081 Å, 90.00 90.00 90.00°
Space group I-42d (No. 122)
Symmetry-distinct sites (fractional):
Mg  0.000  0.000  0.000 x4
P  0.000  0.000  0.500 x4
Os  0.169  0.250  0.625 x8

Number 1: calculated volume 58.92 Å³ per cell, formation energy -0.006 eV per atom, E -23.67 eV/cell. Number 2: calculated volume 114.65 Å³ per cell, formation energy 0.177 eV per atom, E -57.51 eV/cell. Number 3: calculated volume 127.27 Å³ per cell, formation energy -0.152 eV per atom, E -48.50 eV/cell. Number 4: calculated volume 128.91 Å³ per cell, formation energy -0.152 eV per atom, E -48.51 eV/cell. Number 5: calculated volume 57.96 Å³ per cell, formation energy 0.446 eV per atom, E -27.68 eV/cell. Number 6: calculated volume 89.40 Å³ per cell, formation energy 2.616 eV per atom, E -27.61 eV/cell. Number 7: calculated volume 344.42 Å³ per cell, formation energy -0.119 eV per atom, E -96.48 eV/cell. Number 8: calculated volume 258.30 Å³ per cell, formation energy 0.221 eV per atom, E -114.32 eV/cell.